Arrangement one

Entry from Alexandria: an optimized crystal structure of RbPaSn2 (PBE).

```
4
Lattice="-2.800 0.023 1.938 -2.870 -1.438 -1.137 1.522 -11.287 5.328" Properties=species:S:1:pos:R:3 pbc="T T T"
Pa -2.074 -6.351 3.064
Sn 0.560 -8.236 3.900
Sn -4.708 -4.466 2.228
Rb 0.000 0.000 0.000
```

**Symmetry**: R-3m (166)

Arrangement two

Entry from Alexandria: an optimized crystal structure of RbPaSn2 (PBE).

```
4
Lattice="3.452 0.000 0.000 0.000 3.452 0.000 0.000 0.000 10.171" Properties=species:S:1:pos:R:3 pbc="T T T"
Pa 1.726 1.726 0.000
Sn 0.000 0.000 7.968
Sn 0.000 0.000 2.203
Rb 1.726 1.726 5.086
```

**Symmetry**: P4/mmm (123)

Question: which arrangement is favored energetically? Ranking from most to least stable: arrangement two, arrangement one.

Arrangement one

Entry from Alexandria: an optimized crystal structure of Rb3PaTe6 (PBE).

```
10
Lattice="-2.191 -3.883 7.870 -1.129 -8.963 0.461 6.059 -5.103 4.367" Properties=species:S:1:pos:R:3 pbc="T T T"
Rb 2.054 -13.461 9.524
Rb 0.685 -4.487 3.175
Rb 1.369 -8.974 6.349
Pa 0.000 0.000 0.000
Te -1.171 -11.071 7.423
Te 3.298 -11.732 5.526
Te 0.016 -8.968 3.160
Te -0.559 -6.217 7.173
Te 2.723 -8.980 9.539
Te 3.910 -6.877 5.276
```

**Symmetry**: Fm-3m (225)

Arrangement two

Entry from Alexandria: an optimized crystal structure of Rb3PaTe6 (PBE).

```
10
Lattice="-2.628 2.529 -6.435 8.645 -0.850 -1.030 -3.953 -7.670 1.434" Properties=species:S:1:pos:R:3 pbc="T T T"
Rb 3.566 0.295 -2.345
Rb -2.721 -3.108 -1.115
Rb 0.286 -2.282 -4.852
Pa -1.091 1.050 -2.671
Te -5.707 -3.530 -5.236
Te 4.198 1.833 -7.173
Te -3.040 -0.736 -3.897
Te 0.980 1.440 -4.683
Te 2.254 -4.896 -2.026
Te 0.470 -1.308 -1.218
```

**Symmetry**: R3m (160)

Question: which arrangement is favored energetically? Ranking from most to least stable: arrangement two, arrangement one.

Arrangement one

Entry from Alexandria: an optimized crystal structure of Rb2PaTe3 (PBE).

```
12
Lattice="-4.085 -0.634 -6.882 -4.942 -4.405 5.401 -0.006 8.447 1.287" Properties=species:S:1:pos:R:3 pbc="T T T"
Rb -5.588 -3.588 3.368
Rb -2.169 5.313 0.518
Rb -3.444 6.995 -3.562
Rb -6.863 -1.907 -0.713
Pa -3.952 0.673 2.004
Pa -5.080 2.734 -2.198
Te -5.287 1.498 -5.029
Te -3.906 0.091 -1.036
Te -2.471 -2.203 2.700
Te -3.746 1.909 4.834
Te -2.045 3.906 -2.798
Te -5.126 3.315 0.842
```

**Symmetry**: C2/c (15)

Arrangement two

Entry from Alexandria: an optimized crystal structure of Rb2PaTe3 (PBE).

```
12
Lattice="2.834 1.235 7.641 -2.888 -6.771 5.194 7.300 -3.105 2.240" Properties=species:S:1:pos:R:3 pbc="T T T"
Rb 0.000 0.000 0.000
Rb -0.027 -2.768 6.417
Rb 3.192 -3.291 9.754
Rb 4.053 -5.349 5.321
Pa 3.394 -0.633 3.289
Pa 6.740 -1.237 6.592
Te 3.724 -1.894 6.131
Te -0.340 -4.542 9.430
Te 3.521 -6.746 8.944
Te 0.671 -6.456 5.509
Te 6.575 -2.184 9.566
Te 0.286 -0.994 3.405
```

**Symmetry**: C2/m (12)

Question: which arrangement is favored energetically? Ranking from most to least stable: arrangement two, arrangement one.

Arrangement one

Entry from Alexandria: an optimized crystal structure of RbPaTe3 (PBE).

```
5
Lattice="-4.182 -4.088 1.085 3.481 -2.461 4.147 -2.401 3.551 4.123" Properties=species:S:1:pos:R:3 pbc="T T T"
Pa 0.000 0.000 0.000
Te 1.741 -1.231 2.074
Te -1.201 1.776 2.062
Te -2.091 -2.044 0.542
Rb -1.551 -1.499 4.678
```

**Symmetry**: Pm-3m (221)

Arrangement two

Entry from Alexandria: an optimized crystal structure of RbPaTe3 (PBE).

```
10
Lattice="6.036 0.540 -1.393 -2.382 5.573 -1.393 -0.087 -0.146 10.060" Properties=species:S:1:pos:R:3 pbc="T T T"
Rb 3.786 1.555 3.715
Rb -0.219 4.412 3.559
Pa 0.914 1.528 -0.697
Pa 2.741 4.584 -2.090
Te -0.081 4.643 -0.415
Te 3.648 1.324 7.689
Te -0.243 1.127 2.154
Te 3.810 4.840 5.119
Te 2.935 3.376 0.761
Te 0.633 2.591 6.512
```

**Symmetry**: Fmmm (69)

Question: which arrangement is favored energetically? Ranking from most to least stable: arrangement one, arrangement two.

Arrangement one

Entry from Alexandria: an optimized crystal structure of RbPaTe4 (PBE).

```
12
Lattice="6.914 0.000 0.000 0.000 6.914 0.000 0.000 0.000 9.145" Properties=species:S:1:pos:R:3 pbc="T T T"
Rb 3.457 3.457 4.572
Rb 0.000 0.000 4.572
Pa 3.457 3.457 0.000
Pa 0.000 0.000 0.000
Te 4.546 5.825 1.769
Te 1.090 4.546 1.769
Te 5.824 2.368 1.769
Te 4.546 1.090 7.376
Te 2.368 5.824 7.376
Te 2.368 1.089 1.769
Te 5.825 4.546 7.376
Te 1.089 2.368 7.376
```

**Symmetry**: P4/nbm (125)

Arrangement two

Entry from Alexandria: an optimized crystal structure of RbPaTe4 (PBE).

```
12
Lattice="-1.940 7.708 1.516 -6.994 -2.346 2.978 6.950 -0.143 5.585" Properties=species:S:1:pos:R:3 pbc="T T T"
Rb -3.003 4.340 6.995
Rb 1.018 0.878 3.084
Pa -3.731 0.800 2.494
Pa 1.747 4.419 7.586
Te -2.457 0.229 5.037
Te 3.777 2.961 5.779
Te -1.742 -0.585 0.742
Te -2.190 3.456 2.780
Te 0.473 4.990 5.042
Te -5.761 2.258 4.301
Te -5.252 -1.762 2.236
Te 0.206 1.763 7.299
```

**Symmetry**: C2/m (12)

Question: which arrangement is favored energetically? Ranking from most to least stable: arrangement one, arrangement two.

Arrangement one

Entry from Alexandria: an optimized crystal structure of Rb4PaTe5 (PBE).

```
10
Lattice="-5.924 0.239 -4.356 -2.709 -7.868 -2.960 -7.716 -0.661 4.246" Properties=species:S:1:pos:R:3 pbc="T T T"
Rb -9.564 -3.444 0.371
Rb -11.624 -6.383 -3.200
Rb -4.746 -1.907 0.115
Rb -6.806 -4.846 -3.456
Pa -0.335 0.014 -0.247
Te -12.763 -2.895 -1.421
Te -8.910 -6.954 -0.671
Te -7.422 -1.337 -2.387
Te -3.569 -5.396 -1.636
Te -2.680 0.108 -1.970
```

**Symmetry**: I4 (79)

Arrangement two

Entry from Alexandria: an optimized crystal structure of Rb4PaTe5 (PBE).

```
10
Lattice="-4.394 3.214 2.718 -6.040 2.777 -6.239 -6.733 -5.596 2.543" Properties=species:S:1:pos:R:3 pbc="T T T"
Rb -12.605 0.484 -0.533
Rb -8.730 -1.633 1.426
Rb -8.428 2.022 -2.409
Rb -4.553 -0.095 -0.450
Pa -4.390 3.211 2.715
Te -11.424 -3.231 -1.042
Te -5.143 -3.081 2.126
Te -12.015 3.470 -3.109
Te -5.733 3.620 0.059
Te -2.193 1.604 1.356
```

**Symmetry**: I4/mmm (139)

Question: which arrangement is favored energetically? Ranking from most to least stable: arrangement one, arrangement two.